Entry 1:
Compound: Ba4Ca5
Source: Alexandria
Functional: PBE
Structure: relaxed

a = 11.5412 Å, b = 11.5412 Å, c = 7.9125 Å
α = 90.00°, β = 90.00°, γ = 120.00°
With the nearest neighbours (Å) after each atom.
Space group P6_3/mcm (No. 193)
Unique sites:
Ba (0.0000, 0.0000, 0.0000)  8 Ba 3.96-4.26
Ba (0.0000, 0.3270, 0.2500)  5 Ca 3.76-3.96
Ca (0.0000, 0.3472, 0.7500)  5 Ba 3.76-3.96
Ca (0.3333, 0.6667, 0.0000)  8 Ca 3.96-4.26, 6 Ba 4.36

Calculated values
Formation energy from the elements (eV/atom): 0.076
Energy relative to the lowest polymorph listed for this composition (eV/atom): 0.038
N(E_F) (states/eV/f.u.): 15.71

Entry 2:
Compound: BaCa
Source: Alexandria
Functional: PBE
Structure: relaxed

a = 7.2750 Å, b = 8.3776 Å, c = 13.6954 Å
α = 90.00°, β = 90.00°, γ = 90.00°
With the nearest neighbours (Å) after each atom.
Space group P2_12_12_1 (No. 19)
Unique sites:
Ba (0.0058, 0.1274, 0.2473)  7 Ca 4.08-4.31, 5 Ba 4.19-4.29
Ba (0.1684, 0.3845, 0.5041)  7 Ca 4.10-4.31, 5 Ba 4.20-4.29
Ca (0.0086, 0.1283, 0.7537)  5 Ca 4.08-4.19, 7 Ba 4.10-4.31
Ca (0.1648, 0.8741, 0.5060)  5 Ca 4.08-4.19, 7 Ba 4.08-4.29

Calculated values
Formation energy from the elements (eV/atom): 0.043
Energy relative to the lowest polymorph listed for this composition (eV/atom): 0.021
N(E_F) (states/eV/f.u.): 2.84

In eV/cell, the total energy values for the records above are, in order, -34.0, -30.7.